VASP calculation (PBE) on an optimized crystal structure of NaGdTe.

The space group is F-43m (No. 216) and the conventional cell measures 7.297, 7.297 and 7.297 Å, with angles of 90.00, 90.00 and 90.00 degrees. The asymmetric unit holds Na at (0.000, 0.000, 0.000), Gd at (0.250, 0.250, 0.250) and Te at (0.000, 0.000, 0.500).

The energy above the most stable polymorph in this dataset is 0.184 eV/atom.